A plane-wave DFT calculation with GGA-PBE was carried out for Ce2CoAu after structural relaxation.

POSCAR file:
```
Ce2CoAu
1.0
-6.7402 -1.6686 0.8804
1.8653 -6.7187 1.5471
0.4784 1.7331 6.9496
Au Ce Co
4 8 4
Cartesian
-3.5538 -0.0850 3.9359 Au
-2.3842 -2.5696 8.1824 Au
1.6843 -5.9437 5.1111 Au
0.5147 -3.4591 0.8647 Au
-1.3999 -0.2655 6.2750 Ce
-0.5137 -3.8765 6.0117 Ce
-1.3559 -2.1522 3.0351 Ce
-0.4697 -5.7633 2.7719 Ce
-3.8646 -6.6035 3.2156 Ce
-3.9086 -4.7169 6.4555 Ce
-4.7452 -1.0936 6.7121 Ce
-4.7012 -2.9804 3.4722 Ce
0.5976 -1.6309 4.9654 Co
-0.1535 -0.6534 1.0660 Co
-2.4672 -4.3978 4.0816 Co
-1.7160 -5.3753 7.9810 Co
```

Total magnetization in μB per formula unit: 0.493
DFT total energy in eV for the cell shown: -95.4
Symmetry: Pnma